Entry 1:
Entry from the Alexandria database: a relaxed structure of K3Mg2SnH9 (PBE).

Output
Crystal system: trigonal
V (Å³/atom): 14.39
Energy (eV per atom): -2.829
ρ (g cm⁻³): 2.260

Lattice parameters (Å, degrees): 5.834 5.834 7.320 90.00 90.00 120.00
Element x y z (fractional)
K1 0.000 0.000 0.000
K2 0.333 0.667 0.673
K3 0.667 0.333 0.327
Mg1 0.333 0.667 0.152
Mg2 0.667 0.333 0.848
Sn1 0.000 0.000 0.500
H1 0.000 0.500 0.000
H2 0.174 0.348 0.315
H3 0.174 0.826 0.315
H4 0.348 0.174 0.685
H5 0.500 0.000 0.000
H6 0.500 0.500 0.000
H7 0.652 0.826 0.315
H8 0.826 0.174 0.685
H9 0.826 0.652 0.685

Entry 2:
Entry from the Alexandria database: a relaxed structure of KSr2MgH (PBE).

Output
Crystal system: tetragonal
V (Å³/atom): 34.18
Energy (eV per atom): -1.917
ρ (g cm⁻³): 2.329

Lattice parameters (Å, degrees): 5.502 5.502 5.644 90.00 90.00 90.00
Element x y z (fractional)
K1 0.000 0.000 0.000
Sr1 0.000 0.500 0.500
Sr2 0.500 0.000 0.500
Mg1 0.500 0.500 0.000
H1 0.000 0.000 0.500

Entry 3:
Entry from the Alexandria database: a relaxed structure of K3SrMg2H9 (PBE).

Output
Crystal system: trigonal
V (Å³/atom): 15.28
Energy (eV per atom): -2.836
ρ (g cm⁻³): 1.903

Lattice parameters (Å, degrees): 5.914 5.914 7.564 90.00 90.00 120.00
Element x y z (fractional)
K1 0.000 0.000 0.000
K2 0.333 0.667 0.707
K3 0.667 0.333 0.293
Sr1 0.000 0.000 0.500
Mg1 0.333 0.667 0.158
Mg2 0.667 0.333 0.842
H1 0.000 0.500 0.000
H2 0.177 0.355 0.303
H3 0.177 0.823 0.303
H4 0.355 0.177 0.697
H5 0.500 0.000 0.000
H6 0.500 0.500 0.000
H7 0.645 0.823 0.303
H8 0.823 0.177 0.697
H9 0.823 0.645 0.697

Entry 4:
Entry from the Alexandria database: a relaxed structure of K2SrMgH6 (PBE).

Output
Crystal system: tetragonal
V (Å³/atom): 17.19
Energy (eV per atom): -2.824
ρ (g cm⁻³): 1.895

Lattice parameters (Å, degrees): 4.482 4.482 8.557 90.00 90.00 90.00
Element x y z (fractional)
K1 0.000 0.000 0.221
K2 0.000 0.000 0.779
Sr1 0.500 0.500 0.500
Mg1 0.500 0.500 0.000
H1 0.000 0.500 0.000
H2 0.000 0.500 0.500
H3 0.500 0.000 0.000
H4 0.500 0.000 0.500
H5 0.500 0.500 0.219
H6 0.500 0.500 0.781

Entry 5:
Entry from the Alexandria database: a relaxed structure of K2MgVH6 (PBE).

Output
Crystal system: cubic
V (Å³/atom): 12.18
Energy (eV per atom): -3.473
ρ (g cm⁻³): 2.175

Lattice parameters (Å, degrees): 5.564 5.564 5.564 60.00 60.00 60.00
Element x y z (fractional)
K1 0.250 0.250 0.250
K2 0.750 0.750 0.750
Mg1 0.000 0.000 0.000
V1 0.500 0.500 0.500
H1 0.257 0.257 0.743
H2 0.257 0.743 0.257
H3 0.257 0.743 0.743
H4 0.743 0.257 0.257
H5 0.743 0.257 0.743
H6 0.743 0.743 0.257

Entry 6:
Entry from the Alexandria database: a relaxed structure of KMn3H (PBE).

Output
Crystal system: cubic
V (Å³/atom): 15.22
Energy (eV per atom): -5.398
ρ (g cm⁻³): 4.471

Lattice parameters (Å, degrees): 4.238 4.238 4.238 90.00 90.00 90.00
Element x y z (fractional)
K1 0.000 0.000 0.000
Mn1 0.000 0.500 0.500
Mn2 0.500 0.000 0.500
Mn3 0.500 0.500 0.000
H1 0.500 0.500 0.500

Entry 7:
Entry from the Alexandria database: a relaxed structure of KMnH (PBE).

Output
Crystal system: orthorhombic
V (Å³/atom): 21.74
Energy (eV per atom): -4.174
ρ (g cm⁻³): 2.420

Lattice parameters (Å, degrees): 3.572 6.203 11.775 90.00 90.00 90.00
Element x y z (fractional)
K1 0.000 0.000 0.000
K2 0.000 0.500 0.187
K3 0.500 0.000 0.687
K4 0.500 0.500 0.500
Mn1 0.000 0.000 0.381
Mn2 0.000 0.500 0.752
Mn3 0.500 0.000 0.252
Mn4 0.500 0.500 0.881
H1 0.000 0.306 0.649
H2 0.000 0.694 0.649
H3 0.500 0.194 0.149
H4 0.500 0.806 0.149

Entry 8:
Entry from the Alexandria database: a relaxed structure of KMn2H (PBE).

Output
Crystal system: cubic
V (Å³/atom): 22.45
Energy (eV per atom): -4.082
ρ (g cm⁻³): 2.774

Lattice parameters (Å, degrees): 7.108 7.108 7.108 90.00 90.00 90.00
Element x y z (fractional)
K1 0.000 0.000 0.000
K2 0.000 0.500 0.500
K3 0.500 0.000 0.500
K4 0.500 0.500 0.000
Mn1 0.250 0.250 0.250
Mn2 0.250 0.250 0.750
Mn3 0.250 0.750 0.250
Mn4 0.250 0.750 0.750
Mn5 0.750 0.250 0.250
Mn6 0.750 0.250 0.750
Mn7 0.750 0.750 0.250
Mn8 0.750 0.750 0.750
H1 0.000 0.000 0.500
H2 0.000 0.500 0.000
H3 0.500 0.000 0.000
H4 0.500 0.500 0.500

Entry 9:
Entry from the Alexandria database: a relaxed structure of KMn3H (PBE).

Output
Crystal system: cubic
V (Å³/atom): 36.73
Energy (eV per atom): -3.839
ρ (g cm⁻³): 1.853

Lattice parameters (Å, degrees): 5.684 5.684 5.684 90.00 90.00 90.00
Element x y z (fractional)
K1 0.000 0.000 0.000
Mn1 0.000 0.000 0.500
Mn2 0.000 0.500 0.000
Mn3 0.500 0.000 0.000
H1 0.500 0.500 0.500

Entry 10:
Entry from the Alexandria database: a relaxed structure of KMn2H (PBE).

Output
Crystal system: tetragonal
V (Å³/atom): 18.07
Energy (eV per atom): -5.036
ρ (g cm⁻³): 3.445

Lattice parameters (Å, degrees): 5.893 5.893 8.325 90.00 90.00 90.00
Element x y z (fractional)
K1 0.000 0.250 0.375
K2 0.000 0.750 0.625
K3 0.500 0.250 0.125
K4 0.500 0.750 0.875
Mn1 0.000 0.000 0.000
Mn2 0.000 0.500 0.000
Mn3 0.250 0.250 0.750
Mn4 0.250 0.750 0.250
Mn5 0.500 0.000 0.500
Mn6 0.500 0.500 0.500
Mn7 0.750 0.250 0.750
Mn8 0.750 0.750 0.250
H1 0.000 0.250 0.875
H2 0.000 0.750 0.125
H3 0.500 0.250 0.625
H4 0.500 0.750 0.375

Entry 11:
Entry from the Alexandria database: a relaxed structure of K3MnH (PBE).

Output
Crystal system: cubic
V (Å³/atom): 58.92
Energy (eV per atom): -2.225
ρ (g cm⁻³): 0.977

Lattice parameters (Å, degrees): 6.654 6.654 6.654 90.00 90.00 90.00
Element x y z (fractional)
K1 0.000 0.000 0.500
K2 0.000 0.500 0.000
K3 0.500 0.000 0.000
Mn1 0.000 0.000 0.000
H1 0.500 0.500 0.500

Entry 12:
Entry from the Alexandria database: a relaxed structure of K4MnH6 (PBE).

Output
Crystal system: tetragonal
V (Å³/atom): 19.82
Energy (eV per atom): -3.132
ρ (g cm⁻³): 1.655

Lattice parameters (Å, degrees): 7.525 7.525 7.701 90.00 90.00 90.00
Element x y z (fractional)
K1 0.196 0.304 0.250
K2 0.196 0.304 0.750
K3 0.304 0.804 0.250
K4 0.304 0.804 0.750
K5 0.696 0.196 0.250
K6 0.696 0.196 0.750
K7 0.804 0.696 0.250
K8 0.804 0.696 0.750
Mn1 0.000 0.000 0.000
Mn2 0.500 0.500 0.500
H1 0.000 0.000 0.221
H2 0.000 0.000 0.779
H3 0.051 0.778 0.000
H4 0.222 0.051 0.000
H5 0.278 0.551 0.500
H6 0.449 0.278 0.500
H7 0.500 0.500 0.279
H8 0.500 0.500 0.721
H9 0.551 0.722 0.500
H10 0.722 0.449 0.500
H11 0.778 0.949 0.000
H12 0.949 0.222 0.000

Entry 13:
Entry from the Alexandria database: a relaxed structure of KMnH2 (PBE).

Output
Crystal system: tetragonal
V (Å³/atom): 15.38
Energy (eV per atom): -4.104
ρ (g cm⁻³): 2.592

Lattice parameters (Å, degrees): 5.601 5.601 7.846 90.00 90.00 90.00
Element x y z (fractional)
K1 0.000 0.000 0.000
K2 0.000 0.500 0.250
K3 0.500 0.000 0.750
K4 0.500 0.500 0.500
Mn1 0.000 0.000 0.500
Mn2 0.000 0.500 0.750
Mn3 0.500 0.000 0.250
Mn4 0.500 0.500 0.000
H1 0.086 0.250 0.625
H2 0.250 0.586 0.875
H3 0.250 0.914 0.375
H4 0.414 0.250 0.125
H5 0.586 0.750 0.125
H6 0.750 0.086 0.375
H7 0.750 0.414 0.875
H8 0.914 0.750 0.625

Entry 14:
Entry from the Alexandria database: a relaxed structure of K2MnH2 (PBE).

Output
Crystal system: tetragonal
V (Å³/atom): 27.32
Energy (eV per atom): -3.009
ρ (g cm⁻³): 1.643

Lattice parameters (Å, degrees): 4.888 4.888 11.433 90.00 90.00 90.00
Element x y z (fractional)
K1 0.000 0.000 0.169
K2 0.000 0.000 0.831
K3 0.500 0.500 0.331
K4 0.500 0.500 0.669
Mn1 0.000 0.000 0.500
Mn2 0.500 0.500 0.000
H1 0.000 0.500 0.250
H2 0.000 0.500 0.750
H3 0.500 0.000 0.250
H4 0.500 0.000 0.750

Entry 15:
Entry from the Alexandria database: a relaxed structure of KMnH (PBE).

Output
Crystal system: monoclinic
V (Å³/atom): 18.14
Energy (eV per atom): -4.065
ρ (g cm⁻³): 2.899

Lattice parameters (Å, degrees): 10.737 3.315 6.511 90.00 110.02 90.00
Element x y z (fractional)
K1 0.089 0.000 0.336
K2 0.411 0.500 0.664
K3 0.589 0.500 0.336
K4 0.911 0.000 0.664
Mn1 0.193 0.500 0.949
Mn2 0.307 0.000 0.051
Mn3 0.693 0.000 0.949
Mn4 0.807 0.500 0.051
H1 0.126 0.500 0.681
H2 0.374 0.000 0.319
H3 0.626 0.000 0.681
H4 0.874 0.500 0.319

Entry 16:
Entry from the Alexandria database: a relaxed structure of K2MnH5 (PBE).

Output
Crystal system: tetragonal
V (Å³/atom): 16.98
Energy (eV per atom): -3.591
ρ (g cm⁻³): 1.689

Lattice parameters (Å, degrees): 5.859 5.859 7.913 90.00 90.00 90.00
Element x y z (fractional)
K1 0.000 0.500 0.000
K2 0.000 0.500 0.500
K3 0.500 0.000 0.000
K4 0.500 0.000 0.500
Mn1 0.000 0.000 0.225
Mn2 0.500 0.500 0.725
H1 0.000 0.000 0.007
H2 0.198 0.198 0.267
H3 0.198 0.802 0.267
H4 0.302 0.302 0.767
H5 0.302 0.698 0.767
H6 0.500 0.500 0.507
H7 0.698 0.302 0.767
H8 0.698 0.698 0.767
H9 0.802 0.198 0.267
H10 0.802 0.802 0.267

Entry 17:
Entry from the Alexandria database: a relaxed structure of KMnH2 (PBE).

Output
Crystal system: trigonal
V (Å³/atom): 11.46
Energy (eV per atom): -3.939
ρ (g cm⁻³): 3.478

Lattice parameters (Å, degrees): 3.006 3.006 17.577 90.00 90.00 120.00
Element x y z (fractional)
K1 0.000 0.000 0.000
K2 0.333 0.667 0.667
K3 0.667 0.333 0.333
Mn1 0.000 0.000 0.500
Mn2 0.333 0.667 0.167
Mn3 0.667 0.333 0.833
H1 0.000 0.000 0.209
H2 0.000 0.000 0.791
H3 0.333 0.667 0.458
H4 0.333 0.667 0.876
H5 0.667 0.333 0.124
H6 0.667 0.333 0.542

Entry 18:
Entry from the Alexandria database: a relaxed structure of KMnH (PBE).

Output
Crystal system: orthorhombic
V (Å³/atom): 21.66
Energy (eV per atom): -4.085
ρ (g cm⁻³): 2.429

Lattice parameters (Å, degrees): 5.968 10.299 4.229 90.00 90.00 90.00
Element x y z (fractional)
K1 0.000 0.167 0.250
K2 0.000 0.833 0.750
K3 0.500 0.333 0.750
K4 0.500 0.667 0.250
Mn1 0.000 0.500 0.000
Mn2 0.000 0.500 0.500
Mn3 0.500 0.000 0.000
Mn4 0.500 0.000 0.500
H1 0.000 0.365 0.750
H2 0.000 0.635 0.250
H3 0.500 0.135 0.250
H4 0.500 0.865 0.750

Entry 19:
Entry from the Alexandria database: a relaxed structure of KMnH (PBE).

Output
Crystal system: monoclinic
V (Å³/atom): 21.41
Energy (eV per atom): -4.102
ρ (g cm⁻³): 2.458

Lattice parameters (Å, degrees): 13.614 3.424 6.156 90.00 116.48 90.00
Element x y z (fractional)
K1 0.000 0.000 0.000
K2 0.196 0.000 0.694
K3 0.500 0.500 0.000
K4 0.696 0.500 0.694
Mn1 0.264 0.500 0.277
Mn2 0.433 0.000 0.450
Mn3 0.764 0.000 0.277
Mn4 0.933 0.500 0.450
H1 0.053 0.500 0.731
H2 0.143 0.500 0.319
H3 0.553 0.000 0.731
H4 0.643 0.000 0.319

Entry 20:
Entry from the Alexandria database: a relaxed structure of KMnH3 (PBE).

Output
Crystal system: monoclinic
V (Å³/atom): 13.37
Energy (eV per atom): -4.068
ρ (g cm⁻³): 2.411

Lattice parameters (Å, degrees): 5.946 5.946 4.430 93.97 93.97 120.47
Element x y z (fractional)
K1 0.179 0.821 0.750
K2 0.821 0.179 0.250
Mn1 0.475 0.525 0.250
Mn2 0.525 0.475 0.750
H1 0.264 0.315 0.948
H2 0.315 0.264 0.448
H3 0.321 0.679 0.250
H4 0.679 0.321 0.750
H5 0.685 0.736 0.552
H6 0.736 0.685 0.052